Below is VSN2F after structural relaxation, with properties calculated at the PBE with a Hubbard U level.

```
VSN2F
1.0
3.392 0.000 0.000
0.000 3.392 0.000
0.000 0.000 5.141
V S N F
1 1 2 1
Cartesian
0.000 0.000 0.000
0.000 0.000 2.570
0.000 1.696 2.570
1.696 0.000 2.570
1.696 1.696 0.000
```

**D(E_F)**: 0.355 states/eV per atom
**Symmetry**: P4/mmm
**Offset from the most stable computed form**: 148 meV/atom
**Electronic total energy**: -5.30 eV per atom